Entry 1:
# La2PrHg6 PBE-GGA optimized geometry
# crystal system	hexagonal
# electronic total energy	-2.30	eV per atom
data_La2PrHg6
_space_group_name_H-M_alt 'P 1'
_space_group_IT_number 1
_space_group_name_Hall 'P 1'
_cell_length_a 8.8425
_cell_length_b 8.8425
_cell_length_c 3.5365
_cell_angle_alpha 90.00
_cell_angle_beta 90.00
_cell_angle_gamma 120.00
loop_
_atom_site_label
_atom_site_fract_x
_atom_site_fract_y
_atom_site_fract_z
_atom_site_occupancy
La1 0.3333 0.6667 0.0000 1
La2 0.6667 0.3333 0.0000 1
Pr1 0.0000 0.0000 0.0000 1
Hg1 0.0000 0.3325 0.5000 1
Hg2 0.0000 0.6675 0.5000 1
Hg3 0.3325 0.0000 0.5000 1
Hg4 0.3325 0.3325 0.5000 1
Hg5 0.6675 0.0000 0.5000 1
Hg6 0.6675 0.6675 0.5000 1


Entry 2:
# La4PrHg PBE-GGA optimized geometry
# E above lowest polymorph	0	meV per atom
# crystal system	tetragonal
data_La4PrHg
_space_group_name_H-M_alt 'P 1'
_space_group_IT_number 1
_space_group_name_Hall 'P 1'
_cell_length_a 3.7932
_cell_length_b 3.7932
_cell_length_c 14.2558
_cell_angle_alpha 90.00
_cell_angle_beta 90.00
_cell_angle_gamma 90.00
loop_
_atom_site_label
_atom_site_fract_x
_atom_site_fract_y
_atom_site_fract_z
_atom_site_occupancy
La1 0.0000 0.0000 0.1433 1
La2 0.0000 0.0000 0.8567 1
La3 0.5000 0.5000 0.3197 1
La4 0.5000 0.5000 0.6803 1
Pr1 0.0000 0.0000 0.5000 1
Hg1 0.5000 0.5000 0.0000 1


Entry 3:
# La2Pr5Hg PBE-GGA optimized geometry
# crystal system	orthorhombic
# electronic total energy	-4.33	eV per atom
data_La2Pr5Hg
_space_group_name_H-M_alt 'P 1'
_space_group_IT_number 1
_space_group_name_Hall 'P 1'
_cell_length_a 7.2557
_cell_length_b 7.2275
_cell_length_c 7.2561
_cell_angle_alpha 60.13
_cell_angle_beta 59.74
_cell_angle_gamma 60.13
loop_
_atom_site_label
_atom_site_fract_x
_atom_site_fract_y
_atom_site_fract_z
_atom_site_occupancy
La1 0.2493 0.7507 0.7507 1
La2 0.7507 0.2493 0.2493 1
Pr1 0.2499 0.2499 0.2501 1
Pr2 0.2507 0.7488 0.2512 1
Pr3 0.7488 0.2507 0.7493 1
Pr4 0.7500 0.7500 0.2500 1
Pr5 0.7499 0.7499 0.7501 1
Hg1 0.2501 0.2501 0.7499 1


Entry 4:
# La5Pr4Hg PBE-GGA optimized geometry
# crystal system	tetragonal
# electronic total energy	-4.50	eV per atom
data_La5Pr4Hg
_space_group_name_H-M_alt 'P 1'
_space_group_IT_number 1
_space_group_name_Hall 'P 1'
_cell_length_a 3.7715
_cell_length_b 3.7715
_cell_length_c 24.8780
_cell_angle_alpha 90.00
_cell_angle_beta 90.00
_cell_angle_gamma 90.00
loop_
_atom_site_label
_atom_site_fract_x
_atom_site_fract_y
_atom_site_fract_z
_atom_site_occupancy
La1 0.0000 0.0000 0.0000 1
La2 0.0000 0.0000 0.2091 1
La3 0.0000 0.0000 0.4171 1
La4 0.0000 0.0000 0.5829 1
La5 0.0000 0.0000 0.7909 1
Pr1 0.5000 0.5000 0.1041 1
Pr2 0.5000 0.5000 0.3123 1
Pr3 0.5000 0.5000 0.6877 1
Pr4 0.5000 0.5000 0.8959 1
Hg1 0.5000 0.5000 0.5000 1


Entry 5:
# La6PrHg2 PBE-GGA optimized geometry
# E above lowest polymorph	0	meV per atom
# crystal system	monoclinic
data_La6PrHg2
_space_group_name_H-M_alt 'P 1'
_space_group_IT_number 1
_space_group_name_Hall 'P 1'
_cell_length_a 6.8775
_cell_length_b 6.8775
_cell_length_c 12.4289
_cell_angle_alpha 107.39
_cell_angle_beta 107.39
_cell_angle_gamma 33.00
loop_
_atom_site_label
_atom_site_fract_x
_atom_site_fract_y
_atom_site_fract_z
_atom_site_occupancy
La1 0.0227 0.0227 0.3372 1
La2 0.3103 0.3103 0.4094 1
La3 0.3172 0.3172 0.1244 1
La4 0.6828 0.6828 0.8756 1
La5 0.6897 0.6897 0.5906 1
La6 0.9773 0.9773 0.6628 1
Pr1 0.0000 0.0000 0.0000 1
Hg1 0.3560 0.3560 0.8015 1
Hg2 0.6440 0.6440 0.1985 1


Entry 6:
# La2PrHg PBE-GGA optimized geometry
# E above lowest polymorph	0	meV per atom
# crystal system	tetragonal
data_La2PrHg
_space_group_name_H-M_alt 'P 1'
_space_group_IT_number 1
_space_group_name_Hall 'P 1'
_cell_length_a 3.8271
_cell_length_b 3.8271
_cell_length_c 9.0922
_cell_angle_alpha 90.00
_cell_angle_beta 90.00
_cell_angle_gamma 90.00
loop_
_atom_site_label
_atom_site_fract_x
_atom_site_fract_y
_atom_site_fract_z
_atom_site_occupancy
La1 0.0000 0.0000 0.2212 1
La2 0.0000 0.0000 0.7788 1
Pr1 0.5000 0.5000 0.5000 1
Hg1 0.5000 0.5000 0.0000 1


Entry 7:
# LaPr2Hg2 PBE-GGA optimized geometry
# E above lowest polymorph	0	meV per atom
# crystal system	monoclinic
data_LaPr2Hg2
_space_group_name_H-M_alt 'P 1'
_space_group_IT_number 1
_space_group_name_Hall 'P 1'
_cell_length_a 3.9004
_cell_length_b 5.5738
_cell_length_c 14.3068
_cell_angle_alpha 90.00
_cell_angle_beta 97.87
_cell_angle_gamma 90.00
loop_
_atom_site_label
_atom_site_fract_x
_atom_site_fract_y
_atom_site_fract_z
_atom_site_occupancy
La1 0.1452 0.2500 0.2890 1
La2 0.8548 0.7500 0.7110 1
Pr1 0.0475 0.7500 0.0945 1
Pr2 0.2344 0.7500 0.4711 1
Pr3 0.7656 0.2500 0.5289 1
Pr4 0.9525 0.2500 0.9055 1
Hg1 0.3570 0.2500 0.7132 1
Hg2 0.4517 0.7500 0.9045 1
Hg3 0.5483 0.2500 0.0955 1
Hg4 0.6430 0.7500 0.2868 1


Entry 8:
# La7Pr4Hg PBE-GGA optimized geometry
# crystal system	trigonal
# electronic total energy	-4.54	eV per atom
data_La7Pr4Hg
_space_group_name_H-M_alt 'P 1'
_space_group_IT_number 1
_space_group_name_Hall 'P 1'
_cell_length_a 3.7511
_cell_length_b 3.7511
_cell_length_c 35.3668
_cell_angle_alpha 90.00
_cell_angle_beta 90.00
_cell_angle_gamma 120.00
loop_
_atom_site_label
_atom_site_fract_x
_atom_site_fract_y
_atom_site_fract_z
_atom_site_occupancy
La1 0.0000 0.0000 0.0000 1
La2 0.0000 0.0000 0.2565 1
La3 0.0000 0.0000 0.7435 1
La4 0.3333 0.6667 0.1713 1
La5 0.3333 0.6667 0.4280 1
La6 0.6667 0.3333 0.5720 1
La7 0.6667 0.3333 0.8287 1
Pr1 0.3333 0.6667 0.6567 1
Pr2 0.3333 0.6667 0.9147 1
Pr3 0.6667 0.3333 0.0853 1
Pr4 0.6667 0.3333 0.3433 1
Hg1 0.0000 0.0000 0.5000 1


Entry 9:
# LaPr8Hg6 PBE-GGA optimized geometry
# crystal system	trigonal
# electronic total energy	-3.25	eV per atom
data_LaPr8Hg6
_space_group_name_H-M_alt 'P 1'
_space_group_IT_number 1
_space_group_name_Hall 'P 1'
_cell_length_a 8.4784
_cell_length_b 8.4784
_cell_length_c 8.4784
_cell_angle_alpha 66.59
_cell_angle_beta 66.59
_cell_angle_gamma 66.59
loop_
_atom_site_label
_atom_site_fract_x
_atom_site_fract_y
_atom_site_fract_z
_atom_site_occupancy
La1 0.0000 0.0000 0.0000 1
Pr1 0.1162 0.7836 0.4459 1
Pr2 0.2164 0.5541 0.8838 1
Pr3 0.3325 0.3325 0.3325 1
Pr4 0.4459 0.1162 0.7836 1
Pr5 0.5541 0.8838 0.2164 1
Pr6 0.6675 0.6675 0.6675 1
Pr7 0.7836 0.4459 0.1162 1
Pr8 0.8838 0.2164 0.5541 1
Hg1 0.0543 0.3900 0.7173 1
Hg2 0.2827 0.9457 0.6100 1
Hg3 0.3900 0.7173 0.0543 1
Hg4 0.6100 0.2827 0.9457 1
Hg5 0.7173 0.0543 0.3900 1
Hg6 0.9457 0.6100 0.2827 1


Entry 10:
# La2PrHg8 PBE-GGA optimized geometry
# crystal system	orthorhombic
# electronic total energy	-1.93	eV per atom
data_La2PrHg8
_space_group_name_H-M_alt 'P 1'
_space_group_IT_number 1
_space_group_name_Hall 'P 1'
_cell_length_a 8.8390
_cell_length_b 8.8390
_cell_length_c 8.8390
_cell_angle_alpha 144.90
_cell_angle_beta 129.78
_cell_angle_gamma 62.74
loop_
_atom_site_label
_atom_site_fract_x
_atom_site_fract_y
_atom_site_fract_z
_atom_site_occupancy
La1 0.1922 0.1922 0.0000 1
La2 0.8078 0.8078 0.0000 1
Pr1 0.5000 0.5000 0.0000 1
Hg1 0.0648 0.3540 0.7108 1
Hg2 0.2152 0.0000 0.2152 1
Hg3 0.3419 0.8419 0.5000 1
Hg4 0.3568 0.6460 0.7108 1
Hg5 0.6432 0.3540 0.2892 1
Hg6 0.6581 0.1581 0.5000 1
Hg7 0.7848 0.0000 0.7848 1
Hg8 0.9352 0.6460 0.2892 1


Entry 11:
# La6PrHg PBE-GGA optimized geometry
# E above lowest polymorph	0	meV per atom
# crystal system	tetragonal
data_La6PrHg
_space_group_name_H-M_alt 'P 1'
_space_group_IT_number 1
_space_group_name_Hall 'P 1'
_cell_length_a 5.1197
_cell_length_b 5.1197
_cell_length_c 10.3913
_cell_angle_alpha 90.00
_cell_angle_beta 90.00
_cell_angle_gamma 90.00
loop_
_atom_site_label
_atom_site_fract_x
_atom_site_fract_y
_atom_site_fract_z
_atom_site_occupancy
La1 0.0000 0.0000 0.0000 1
La2 0.0000 0.0000 0.5000 1
La3 0.0000 0.5000 0.2437 1
La4 0.0000 0.5000 0.7563 1
La5 0.5000 0.0000 0.2437 1
La6 0.5000 0.0000 0.7563 1
Pr1 0.5000 0.5000 0.5000 1
Hg1 0.5000 0.5000 0.0000 1


Entry 12:
# La2PrHg PBE-GGA optimized geometry
# E above lowest polymorph	150	meV per atom
# crystal system	cubic
data_La2PrHg
_space_group_name_H-M_alt 'P 1'
_space_group_IT_number 1
_space_group_name_Hall 'P 1'
_cell_length_a 7.9734
_cell_length_b 7.9734
_cell_length_c 7.9734
_cell_angle_alpha 90.00
_cell_angle_beta 90.00
_cell_angle_gamma 90.00
loop_
_atom_site_label
_atom_site_fract_x
_atom_site_fract_y
_atom_site_fract_z
_atom_site_occupancy
La1 0.2500 0.2500 0.2500 1
La2 0.2500 0.2500 0.7500 1
La3 0.2500 0.7500 0.2500 1
La4 0.2500 0.7500 0.7500 1
La5 0.7500 0.2500 0.2500 1
La6 0.7500 0.2500 0.7500 1
La7 0.7500 0.7500 0.2500 1
La8 0.7500 0.7500 0.7500 1
Pr1 0.0000 0.0000 0.0000 1
Pr2 0.0000 0.5000 0.5000 1
Pr3 0.5000 0.0000 0.5000 1
Pr4 0.5000 0.5000 0.0000 1
Hg1 0.0000 0.0000 0.5000 1
Hg2 0.0000 0.5000 0.0000 1
Hg3 0.5000 0.0000 0.0000 1
Hg4 0.5000 0.5000 0.5000 1


no.,size of the total moment (μB per atom),DOS(E_F) (states/eV per atom)
1,0.0763,0.831
2,0.0000,1.350
3,0.0000,1.167
4,0.0000,1.531
5,0.0000,1.303
6,0.0000,1.213
7,0.1084,1.200
8,0.0000,1.533
9,0.2029,1.392
10,0.0000,0.611
11,0.0000,1.206
12,0.3416,1.599